1.
Crystalline SiP2CO at its relaxed geometry, computed with PBE.

a = 4.1244 Å, b = 4.1244 Å, c = 3.3111 Å
α = 90.00°, β = 90.00°, γ = 90.00°
Last column: nearest neighbours and their distance in Å.
Space group P4/mmm (No. 123)
Inequivalent atoms, fractional coordinates:
1 Si 0.0000 0.0000 0.0000 x1  8 P 2.64, 4 O 2.92
2 P 0.0000 0.5000 0.5000 x2  2 C 2.06
3 C 0.5000 0.5000 0.5000 x1  2 O 1.66
4 O 0.5000 0.5000 0.0000 x1  2 C 1.66

Values from the calculation:
offset from the most stable computed form	0	meV/atom


2.
Crystalline SnP2CO at its relaxed geometry, computed with PBE.

a = 4.2181 Å, b = 4.2181 Å, c = 3.6705 Å
α = 90.00°, β = 90.00°, γ = 90.00°
Last column: nearest neighbours and their distance in Å.
Space group P4/mmm (No. 123)
Inequivalent atoms, fractional coordinates:
1 Sn 0.0000 0.0000 0.0000 x1  8 P 2.80, 4 O 2.98
2 P 0.0000 0.5000 0.5000 x2  2 C 2.11
3 C 0.5000 0.5000 0.5000 x1  2 O 1.84
4 O 0.5000 0.5000 0.0000 x1  2 C 1.84

Values from the calculation:
offset from the most stable computed form	0	meV/atom


3.
Crystalline SnP2CO at its relaxed geometry, computed with PBE.

a = 5.0998 Å, b = 5.0998 Å, c = 3.8782 Å
α = 90.00°, β = 90.00°, γ = 90.00°
Last column: nearest neighbours and their distance in Å.
Space group P4/mmm (No. 123)
Inequivalent atoms, fractional coordinates:
1 Sn 0.0000 0.0000 0.0000 x1  2 O 1.94
2 P 0.0000 0.5000 0.0000 x2  2 Sn 2.55
3 C 0.5000 0.5000 0.5000 x1  8 P 3.20
4 O 0.0000 0.0000 0.5000 x1  2 Sn 1.94

Values from the calculation:
offset from the most stable computed form	899	meV/atom


4.
Crystalline SrP2CO at its relaxed geometry, computed with PBE.

a = 3.7364 Å, b = 3.7364 Å, c = 6.4426 Å
α = 90.00°, β = 90.00°, γ = 90.00°
Last column: nearest neighbours and their distance in Å.
Space group P4/mmm (No. 123)
Inequivalent atoms, fractional coordinates:
1 Sr 0.0000 0.0000 0.0000 x1  4 O 2.64
2 P 0.0000 0.5000 0.5000 x2  2 C 1.87
3 C 0.5000 0.5000 0.5000 x1  4 P 1.87
4 O 0.5000 0.5000 0.0000 x1  4 Sr 2.64

Values from the calculation:
offset from the most stable computed form	0	meV/atom


5.
Crystalline SrP2CO at its relaxed geometry, computed with PBE.

a = 5.8310 Å, b = 5.8310 Å, c = 4.4128 Å
α = 90.00°, β = 90.00°, γ = 90.00°
Last column: nearest neighbours and their distance in Å.
Space group P4/mmm (No. 123)
Inequivalent atoms, fractional coordinates:
1 Sr 0.0000 0.0000 0.0000 x1  2 O 2.21
2 P 0.0000 0.5000 0.0000 x2  2 Sr 2.92
3 C 0.5000 0.5000 0.5000 x1  8 P 3.66
4 O 0.0000 0.0000 0.5000 x1  2 Sr 2.21

Values from the calculation:
offset from the most stable computed form	2038	meV/atom


6.
Crystalline TiPCO2 at its relaxed geometry, computed with PBE.

a = 3.6396 Å, b = 3.6396 Å, c = 5.5287 Å
α = 90.00°, β = 90.00°, γ = 90.00°
Last column: nearest neighbours and their distance in Å.
Space group P4/mmm (No. 123)
Inequivalent atoms, fractional coordinates:
1 Ti 0.0000 0.0000 0.0000 x1  4 O 1.82
2 P 0.0000 0.0000 0.5000 x1  4 C 2.57, 2 Ti 2.76
3 C 0.5000 0.5000 0.5000 x1  4 P 2.57
4 O 0.0000 0.5000 0.0000 x2  2 Ti 1.82

Values from the calculation:
offset from the most stable computed form	0	meV/atom


| no. | size of the total moment (μB/f.u.) | E_form (uncorrected) (eV per formula unit) |
| --- | --- | --- |
| 1 | 0.00 | 4.76 |
| 2 | 0.00 | 4.52 |
| 3 | 0.04 | 9.01 |
| 4 | 0.00 | 0.73 |
| 5 | 4.53 | 10.92 |
| 6 | 0.20 | -0.10 |